# Rb2TaI2Cl4

Rb2TaI2Cl4 after structural relaxation (PBE, Alexandria).

abc: 7.742 7.742 7.742
angles: 120.71 120.71 88.78
Positions (direct):
Rb 0.250 0.750 0.500
Rb 0.750 0.250 0.500
Ta 0.000 0.000 0.000
I 0.256 0.256 0.000
I 0.744 0.744 0.000
Cl 0.223 0.223 0.445
Cl 0.223 0.777 0.000
Cl 0.777 0.223 0.000
Cl 0.777 0.777 0.555

Values from the calculation:
- Fermi-level density of states: 4.977 states/eV per cell
- Raw total energy: -36.7 eV/cell
- Raw formation energy: -1.38 eV/atom
- Space-group type: No. 139

# RbCd3Os

RbCd3Os after structural relaxation (PBE, Alexandria).

abc: 5.325 5.325 5.325
angles: 90.00 90.00 90.00
Positions (direct):
Rb 0.000 0.000 0.000
Cd 0.000 0.500 0.500
Cd 0.500 0.000 0.500
Cd 0.500 0.500 0.000
Os 0.500 0.500 0.500

Values from the calculation:
- Formation energy from the elements: 0.40 eV per atom
- Fermi-level density of states: 4.440 states/eV per cell
- Raw total energy: -13.0 eV/cell
- Space-group type: No. 221

# SrPaReN4

SrPaReN4 after structural relaxation (PBE, Alexandria).

abc: 6.081 5.672 7.060
angles: 90.00 107.64 90.00
Positions (direct):
Sr 0.210 0.250 0.439
Sr 0.790 0.750 0.561
Pa 0.301 0.250 0.967
Pa 0.699 0.750 0.033
Re 0.247 0.750 0.177
Re 0.753 0.250 0.823
N 0.038 0.750 0.930
N 0.061 0.750 0.338
N 0.491 0.513 0.201
N 0.491 0.987 0.201
N 0.509 0.013 0.799
N 0.509 0.487 0.799
N 0.939 0.250 0.662
N 0.962 0.250 0.070

Values from the calculation:
- Fermi-level density of states: 3.126 states/eV per cell
- Raw total energy: -125.0 eV/cell
- Raw formation energy: -0.79 eV/atom
- Space-group type: No. 11

# Ba2PuPaO6

Ba2PuPaO6 after structural relaxation (PBE, Alexandria).

abc: 6.336 6.336 6.336
angles: 60.00 60.00 60.00
Positions (direct):
Ba 0.250 0.250 0.250
Ba 0.750 0.750 0.750
Pu 0.000 0.000 0.000
Pa 0.500 0.500 0.500
O 0.256 0.256 0.744
O 0.256 0.744 0.256
O 0.256 0.744 0.744
O 0.744 0.256 0.256
O 0.744 0.256 0.744
O 0.744 0.744 0.256

Values from the calculation:
- Fermi-level density of states: 6.145 states/eV per cell
- Raw total energy: -88.7 eV/cell
- Raw formation energy: -3.13 eV/atom
- Space-group type: No. 225

# Nd3Cu8Sn

Nd3Cu8Sn after structural relaxation (PBE, Alexandria).

abc: 9.189 9.189 9.189
angles: 33.53 33.53 33.53
Positions (direct):
Nd 0.000 0.000 0.000
Nd 0.124 0.124 0.124
Nd 0.505 0.505 0.505
Cu 0.062 0.564 0.564
Cu 0.066 0.066 0.559
Cu 0.066 0.559 0.066
Cu 0.313 0.313 0.313
Cu 0.559 0.066 0.066
Cu 0.564 0.062 0.564
Cu 0.564 0.564 0.062
Cu 0.814 0.814 0.814
Sn 0.629 0.629 0.629

Values from the calculation:
- Formation energy from the elements: -0.15 eV per atom
- Fermi-level density of states: 6.454 states/eV per cell
- Raw total energy: -52.8 eV/cell
- Space-group type: No. 160

# PmGaHgSb

PmGaHgSb after structural relaxation (PBE, Alexandria).

abc: 7.508 7.508 7.508
angles: 90.00 90.00 90.00
Positions (direct):
Pm 0.000 0.000 0.000
Pm 0.000 0.500 0.500
Pm 0.500 0.000 0.500
Pm 0.500 0.500 0.000
Ga 0.000 0.000 0.500
Ga 0.000 0.500 0.000
Ga 0.500 0.000 0.000
Ga 0.500 0.500 0.500
Hg 0.250 0.250 0.750
Hg 0.250 0.750 0.250
Hg 0.750 0.250 0.250
Hg 0.750 0.750 0.750
Sb 0.250 0.250 0.250
Sb 0.250 0.750 0.750
Sb 0.750 0.250 0.750
Sb 0.750 0.750 0.250

Values from the calculation:
- Fermi-level density of states: 11.877 states/eV per cell
- Raw total energy: -54.4 eV/cell
- Raw formation energy: -0.35 eV/atom
- Space-group type: No. 216

# Na2InPb6

Na2InPb6 after structural relaxation (PBE, Alexandria).

abc: 10.297 10.297 5.065
angles: 90.00 90.00 90.00
Positions (direct):
Na 0.164 0.164 0.000
Na 0.336 0.664 0.500
Na 0.664 0.336 0.500
Na 0.836 0.836 0.000
In 0.000 0.000 0.500
In 0.500 0.500 0.000
Pb 0.002 0.670 0.500
Pb 0.167 0.833 0.000
Pb 0.170 0.498 0.000
Pb 0.330 0.998 0.500
Pb 0.333 0.333 0.500
Pb 0.498 0.170 0.000
Pb 0.502 0.830 0.000
Pb 0.667 0.667 0.500
Pb 0.670 0.002 0.500
Pb 0.830 0.502 0.000
Pb 0.833 0.167 0.000
Pb 0.998 0.330 0.500

Values from the calculation:
- Formation energy from the elements: -0.09 eV per atom
- Fermi-level density of states: 5.606 states/eV per cell
- Raw total energy: -56.9 eV/cell
- Space-group type: No. 136

# NaZnGaHg2

NaZnGaHg2 after structural relaxation (PBE, Alexandria).

abc: 5.309 5.309 5.760
angles: 90.00 90.00 90.00
Positions (direct):
Na 0.000 0.000 0.000
Zn 0.500 0.500 0.000
Ga 0.000 0.000 0.500
Hg 0.000 0.500 0.500
Hg 0.500 0.000 0.500

Values from the calculation:
- Formation energy from the elements: 0.20 eV per atom
- Fermi-level density of states: 1.705 states/eV per cell
- Raw total energy: -5.2 eV/cell
- Space-group type: No. 123

# CuTc2Sb

CuTc2Sb after structural relaxation (PBE, Alexandria).

abc: 2.932 2.932 26.469
angles: 90.00 90.00 120.00
Positions (direct):
Cu 0.000 0.000 0.000
Cu 0.333 0.667 0.667
Cu 0.667 0.333 0.333
Tc 0.000 0.000 0.253
Tc 0.000 0.000 0.510
Tc 0.333 0.667 0.177
Tc 0.333 0.667 0.920
Tc 0.667 0.333 0.586
Tc 0.667 0.333 0.844
Sb 0.000 0.000 0.755
Sb 0.333 0.667 0.422
Sb 0.667 0.333 0.089

Values from the calculation:
- Fermi-level density of states: 9.770 states/eV per cell
- Raw total energy: -82.2 eV/cell
- Raw formation energy: 0.39 eV/atom
- Space-group type: No. 160

# Ca2Pr4Sm

Ca2Pr4Sm after structural relaxation (PBE, Alexandria).

abc: 3.617 5.990 24.020
angles: 90.00 90.00 90.00
Positions (direct):
Ca 0.000 0.000 0.221
Ca 0.000 0.000 0.779
Ca 0.500 0.500 0.279
Ca 0.500 0.500 0.721
Pr 0.000 0.500 0.131
Pr 0.000 0.500 0.420
Pr 0.000 0.500 0.580
Pr 0.000 0.500 0.869
Pr 0.500 0.000 0.080
Pr 0.500 0.000 0.369
Pr 0.500 0.000 0.631
Pr 0.500 0.000 0.920
Sm 0.000 0.000 0.500
Sm 0.500 0.500 0.000

Values from the calculation:
- Formation energy from the elements: 0.10 eV per atom
- Fermi-level density of states: 20.833 states/eV per cell
- Raw total energy: -54.2 eV/cell
- Space-group type: No. 71

# Y2TaNiBi

Y2TaNiBi after structural relaxation (PBE, Alexandria).

abc: 5.174 5.174 4.805
angles: 90.00 90.00 90.00
Positions (direct):
Y 0.000 0.500 0.000
Y 0.500 0.000 0.000
Ta 0.000 0.000 0.500
Ni 0.500 0.500 0.000
Bi 0.500 0.500 0.500

Values from the calculation:
- Formation energy from the elements: 0.48 eV per atom
- Fermi-level density of states: 4.855 states/eV per cell
- Raw total energy: -32.0 eV/cell
- Space-group type: No. 123

# Y2As2I

Y2As2I after structural relaxation (PBE, Alexandria).

abc: 5.345 5.345 9.601
angles: 90.00 90.00 90.00
Positions (direct):
Y 0.000 0.500 0.250
Y 0.000 0.500 0.750
Y 0.500 0.000 0.250
Y 0.500 0.000 0.750
As 0.000 0.000 0.132
As 0.000 0.000 0.868
As 0.500 0.500 0.368
As 0.500 0.500 0.632
I 0.000 0.000 0.500
I 0.500 0.500 0.000

Values from the calculation:
- Fermi-level density of states: 9.029 states/eV per cell
- Raw total energy: -57.6 eV/cell
- Raw formation energy: -1.01 eV/atom
- Space-group type: No. 139